# 1
Density functional theory data (PBE) for Ni2AsIr after structural relaxation.

D(E_F)	1.0490	states/eV per atom
magnetization	0.00	μB per cell
symmetry	F-43m, No. 216

abc: 4.183 4.183 4.183
angles: 60.00 60.00 60.00
Element x y z (fractional)
1 Ni 0.250 0.250 0.250
2 Ni 0.000 0.000 0.000
3 Ir 0.750 0.750 0.750
4 As 0.500 0.500 0.500

# 2
Density functional theory data (PBE) for CsNa2AsPd after structural relaxation.

D(E_F)	0.3820	states/eV per atom
magnetization	0.00	μB per cell
symmetry	P4/mmm, No. 123

abc: 5.668 5.668 4.800
angles: 90.00 90.00 90.00
Element x y z (fractional)
1 Cs 0.500 0.500 0.500
2 Na 0.500 0.000 0.000
3 Na 0.000 0.500 0.000
4 Pd 0.000 0.000 0.000
5 As 0.000 0.000 0.500

| no. | E_form (meV per atom) |
| --- | --- |
| 1 | 30 |
| 2 | -249 |